The following is a DFT calculation (GGA-PBE) of a relaxed structure of LaFeSe.

Its energy relative to the lowest polymorph listed for this composition is 0.0 meV per atom. The value obtained for the total energy is -19.1 eV/cell. The value obtained for the uncorrected formation energy is -0.75 eV/atom.

Cell: 4.211 4.211 4.033 Å, 90.00 90.00 120.00°
Site moments in Bohr magnetons follow the coordinates.
Positions (direct):
La 0.333 0.667 0.334  -0.19
Se 0.667 0.333 0.833  0.00
Fe 0.000 0.000 0.833  1.59